Here is a relaxed structure of Rb2AuCl5 from Alexandria. Energies are from GGA-PBE.

POSCAR file:
```
Rb2AuCl5
1.0
-3.6908 3.6908 4.7914
3.6908 -3.6908 4.7914
3.6908 3.6908 -4.7914
Rb Au Cl
2 1 5
Direct
0.0000 0.5000 0.5000 Rb
0.5000 0.0000 0.5000 Rb
0.2575 0.2575 0.0000 Au
0.0157 0.0157 0.5495 Cl
0.0157 0.4662 0.0000 Cl
0.4662 0.0157 0.0000 Cl
0.4662 0.4662 0.4505 Cl
0.5660 0.5660 0.0000 Cl
```

Summary:
Its spin magnetization is 0.000 Bohr magnetons per cell. The calculation puts the total energy at -23.52 eV per cell.

=====

Here is a relaxed structure of RbAu3Cl from Alexandria. Energies are from GGA-PBE.

POSCAR file:
```
RbAu3Cl
1.0
5.2960 0.0000 0.0000
0.0000 5.2960 0.0000
0.0000 0.0000 5.2960
Rb Au Cl
1 3 1
Direct
0.0000 0.0000 0.0000 Rb
0.0000 0.5000 0.5000 Au
0.5000 0.0000 0.5000 Au
0.5000 0.5000 0.0000 Au
0.5000 0.5000 0.5000 Cl
```

Summary:
The value obtained for the density of states at the Fermi level is 2.5 states/eV per cell. Its spin magnetization is 0.000 Bohr magnetons per cell. The calculation puts the total energy at -10.68 eV per cell.

=====

Here is a relaxed structure of Rb3Au2Cl8 from Alexandria. Energies are from GGA-PBE.

POSCAR file:
```
Rb3Au2Cl8
1.0
3.4709 2.0039 9.9850
-3.4709 2.0039 9.9850
0.0000 -4.0079 9.9850
Rb Au Cl
3 2 8
Direct
0.0000 0.0000 0.0000 Rb
0.2060 0.2060 0.2060 Rb
0.7940 0.7940 0.7940 Rb
0.3951 0.3951 0.3951 Au
0.6049 0.6049 0.6049 Au
0.2104 0.7399 0.7399 Cl
0.2601 0.2601 0.7896 Cl
0.2601 0.7896 0.2601 Cl
0.3154 0.3154 0.3154 Cl
0.6846 0.6846 0.6846 Cl
0.7399 0.2104 0.7399 Cl
0.7399 0.7399 0.2104 Cl
0.7896 0.2601 0.2601 Cl
```

Summary:
The value obtained for the density of states at the Fermi level is 9.0 states/eV per cell. Its spin magnetization is 1.933 Bohr magnetons per cell. The calculation puts the total energy at -35.85 eV per cell.